1.
The following is a DFT calculation (GGA-PBE) of a geometry-optimized OsRuF2 structure.

Calculated values
E_form (uncorrected)   -281 meV/atom
Space group   No. 166
Polymorph energy (0 for the lowest one)   0.0 meV/atom

Cell and atoms, written as POSCAR:
```
OsRuF2
1.0
7.822 -1.747 3.977
8.704 -1.456 1.480
8.388 0.681 3.039
Os F Ru
1 2 1
Direct
0.000 0.000 0.000
0.927 0.927 0.927
0.073 0.073 0.073
0.500 0.500 0.500
```

---

2.
The following is a DFT calculation (GGA-PBE) of a geometry-optimized FeS2NCl structure.

Calculated values
E_form (uncorrected)   1762 meV/atom
Space group   No. 123
Polymorph energy (0 for the lowest one)   1071.0 meV/atom

Cell and atoms, written as POSCAR:
```
FeS2NCl
1.0
-3.710 2.439 -1.876
-2.965 -2.051 3.198
0.578 2.549 2.171
Fe Cl S N
1 1 2 1
Direct
0.500 0.500 0.500
0.000 0.000 0.000
0.500 0.000 0.000
0.000 0.500 0.000
0.000 0.000 0.500
```

---

3.
The following is a DFT calculation (GGA-PBE) of a geometry-optimized MgIn2Ir structure.

Calculated values
E_tot   -3.904 eV/atom
Space group   No. 122

Cell and atoms, written as POSCAR:
```
MgIn2Ir
1.0
8.665 0.000 0.000
0.000 8.665 0.000
4.332 4.332 2.648
Mg In Ir
2 4 2
Direct
0.250 0.750 0.500
0.500 0.500 0.000
0.717 0.125 0.250
0.033 0.625 0.250
0.375 0.283 0.750
0.875 0.967 0.750
0.750 0.250 0.500
0.000 0.000 0.000
```